[1]
Material: HfZn2InPt4
Method: DFT, GGA-PBE
State: relaxed

Cell lengths 4.7614, 4.7614, 5.8301 Å; angles 90.00, 90.00, 90.00 degrees
Atoms (fractional coordinates):
Hf  0.0000  0.0000  0.5000
In  0.5000  0.5000  0.0000
Pt  0.5000  0.0000  0.2494
Pt  0.0000  0.5000  0.2494
Pt  0.5000  0.0000  0.7506
Pt  0.0000  0.5000  0.7506
Zn  0.0000  0.0000  0.0000
Zn  0.5000  0.5000  0.5000

Computed properties:
M_tot in Bohr magnetons per cell: 0.00
Crystal system: tetragonal
Space-group type: P4/mmm, No. 123

[2]
Material: NiAs2P2
Method: DFT, GGA-PBE
State: relaxed

Cell lengths 5.8566, 5.8566, 5.4288 Å; angles 90.00, 90.00, 105.47 degrees
Atoms (fractional coordinates):
As  0.3628  0.1204  0.2500
As  0.8796  0.6372  0.2500
As  0.1204  0.3628  0.7500
As  0.6372  0.8796  0.7500
Ni  0.0000  0.0000  0.0000
Ni  0.0000  0.0000  0.5000
P  0.8139  0.1861  0.2500
P  0.4624  0.5376  0.2500
P  0.5376  0.4624  0.7500
P  0.1861  0.8139  0.7500

Computed properties:
M_tot in Bohr magnetons per cell: 0.00
Crystal system: orthorhombic
Space-group type: Cmcm, No. 63

[3]
Material: Rb2CuAuBr4Cl2
Method: DFT, GGA-PBE
State: relaxed

Cell lengths 7.6357, 7.6357, 7.6357 Å; angles 120.42, 120.42, 89.28 degrees
Atoms (fractional coordinates):
Au  0.0000  0.0000  0.0000
Br  0.7654  0.2346  0.0000
Br  0.2346  0.7654  0.0000
Br  0.2346  0.2346  0.4693
Br  0.7654  0.7654  0.5307
Cl  0.3005  0.3005  0.0000
Cl  0.6995  0.6995  0.0000
Cu  0.5000  0.5000  0.0000
Rb  0.7500  0.2500  0.5000
Rb  0.2500  0.7500  0.5000

Computed properties:
Crystal system: tetragonal
Space-group type: I4/mmm, No. 139

Number 1: electronic total energy -5.611 eV/atom, ρ 15.13 g cm⁻³. Number 2: electronic total energy -4.992 eV/atom, ρ 5.01 g cm⁻³. Number 3: electronic total energy -2.879 eV/atom, ρ 4.36 g cm⁻³.